[1]
First-principles (PBE) data for a relaxed Hg2BiPt2 crystal, as listed in Alexandria.

Computed properties:
The value obtained for the volume is 20.78 Å³/atom. The value obtained for the total magnetization is 0.0 μB per formula unit. The calculation puts the density at 16.0 Mg/m³. The formation enthalpy at 0 K comes out at 10 meV per atom. The value obtained for the density of states at the Fermi level is 3.8 states/eV/cell.

Cell: 7.8911 7.8911 3.3373 Å, 90.00 90.00 90.00°
Closest atoms and distances in Å follow each position.
Sites, in units of the cell vectors:
Hg 0.1630 0.3370 0.0000  6 Pt 2.82-2.88
Hg 0.3370 0.8370 0.0000  6 Pt 2.82-2.88
Hg 0.6630 0.1630 0.0000  6 Pt 2.82-2.88
Hg 0.8370 0.6630 0.0000  6 Pt 2.82-2.88
Bi 0.0000 0.0000 0.5000  4 Pt 3.08, 2 Bi 3.34, 8 Hg 3.39
Bi 0.5000 0.5000 0.5000  4 Pt 3.08, 2 Bi 3.34, 8 Hg 3.39
Pt 0.1337 0.6337 0.5000  6 Hg 2.82-2.88, 1 Pt 2.98, 2 Bi 3.08
Pt 0.3663 0.1337 0.5000  6 Hg 2.82-2.88, 1 Pt 2.98, 2 Bi 3.08
Pt 0.6337 0.8663 0.5000  6 Hg 2.82-2.88, 1 Pt 2.98, 2 Bi 3.08
Pt 0.8663 0.3663 0.5000  6 Hg 2.82-2.88, 1 Pt 2.98, 2 Bi 3.08

[2]
First-principles (PBE) data for a relaxed ReH2W crystal, as listed in Alexandria.

Computed properties:
The value obtained for the volume is 9.25 Å³/atom. The value obtained for the total magnetization is 0.0 μB per formula unit. The calculation puts the density at 16.7 Mg/m³. The value obtained for the density of states at the Fermi level is 3.6 states/eV/cell.

Cell: 5.1515 5.1515 5.1515 Å, 132.00 132.00 70.23°
Closest atoms and distances in Å follow each position.
Sites, in units of the cell vectors:
Re 0.0000 0.0000 0.0000  4 H 1.80
Re 0.7500 0.2500 0.5000  4 H 1.80
H 0.1176 0.6250 0.9926  2 Re 1.80, 2 W 1.84
H 0.3750 0.3676 0.4926  2 Re 1.80, 2 W 1.84
H 0.6324 0.1250 0.0074  2 Re 1.80, 2 W 1.84
H 0.8750 0.8824 0.5074  2 Re 1.80, 2 W 1.84
W 0.2500 0.7500 0.5000  4 H 1.84
W 0.5000 0.5000 0.0000  4 H 1.84

no.,energy above the most stable polymorph in this dataset (meV/atom)
1,0
2,0